#i
First-principles (GGA-PBE) data for crystalline Pm2SmY4 at its relaxed geometry, as listed in the Alexandria database.

Unit cell a=8.972 b=8.972 c=11.663 alpha=130.47 beta=130.47 gamma=44.31
Atoms (fractional coordinates):
1 Pm 0.000 0.000 0.000
2 Pm 0.110 0.334 0.472
3 Pm 0.666 0.890 0.528
4 Pm 0.999 0.001 0.500
5 Sm 0.111 0.334 0.972
6 Sm 0.666 0.889 0.028
7 Y 0.227 0.772 0.250
8 Y 0.228 0.773 0.750
9 Y 0.359 0.328 0.344
10 Y 0.359 0.329 0.844
11 Y 0.671 0.641 0.156
12 Y 0.672 0.641 0.656
13 Y 0.674 0.326 0.250
14 Y 0.674 0.326 0.750

Calculated values
total magnetization	0.00	μB per cell
SG	No. 5

#ii
First-principles (GGA-PBE) data for crystalline Pm2SmY4 at its relaxed geometry, as listed in the Alexandria database.

Unit cell a=16.938 b=3.577 c=8.851 alpha=90.00 beta=119.87 gamma=90.00
Atoms (fractional coordinates):
1 Pm 0.069 0.000 0.429
2 Pm 0.431 0.500 0.571
3 Pm 0.569 0.500 0.429
4 Pm 0.931 0.000 0.571
5 Sm 0.000 0.000 0.000
6 Sm 0.500 0.500 0.000
7 Y 0.145 0.500 0.842
8 Y 0.206 0.500 0.293
9 Y 0.294 0.000 0.707
10 Y 0.355 0.000 0.158
11 Y 0.645 0.000 0.842
12 Y 0.706 0.000 0.293
13 Y 0.794 0.500 0.707
14 Y 0.855 0.500 0.158

Calculated values
total magnetization	0.00	μB per cell
SG	No. 12

It turns out #ii is the most stable, with the second structure 13.4 kJ/mol of atoms higher.

#i
First-principles (GGA-PBE) data for crystalline Pm7Sm2Y3 at its relaxed geometry, as listed in the Alexandria database.

Unit cell a=3.645 b=5.781 c=19.648 alpha=93.86 beta=95.30 gamma=90.01
Atoms (fractional coordinates):
1 Pm 0.000 0.000 0.000
2 Pm 0.070 0.671 0.141
3 Pm 0.271 0.259 0.543
4 Pm 0.411 0.825 0.821
5 Pm 0.589 0.175 0.179
6 Pm 0.729 0.741 0.457
7 Pm 0.930 0.329 0.859
8 Sm 0.356 0.292 0.710
9 Sm 0.644 0.708 0.290
10 Y 0.179 0.220 0.359
11 Y 0.500 0.500 0.000
12 Y 0.821 0.780 0.641

Calculated values
total magnetization	0.00	μB per cell
SG	No. 2

#ii
First-principles (GGA-PBE) data for crystalline Pm7Sm2Y3 at its relaxed geometry, as listed in the Alexandria database.

Unit cell a=5.907 b=3.645 c=19.047 alpha=90.00 beta=93.57 gamma=90.00
Atoms (fractional coordinates):
1 Pm 0.000 0.000 0.000
2 Pm 0.179 0.500 0.180
3 Pm 0.258 0.500 0.536
4 Pm 0.322 0.000 0.856
5 Pm 0.678 0.000 0.144
6 Pm 0.742 0.500 0.464
7 Pm 0.821 0.500 0.820
8 Sm 0.295 0.500 0.703
9 Sm 0.705 0.500 0.297
10 Y 0.217 0.000 0.368
11 Y 0.500 0.500 0.000
12 Y 0.783 0.000 0.632

Calculated values
total magnetization	0.00	μB per cell
SG	No. 10

It turns out #ii is the most stable, with the second structure 1.3 kJ/mol of atoms higher.

#i
First-principles (GGA-PBE) data for crystalline Pm3SmY3 at its relaxed geometry, as listed in the Alexandria database.

Unit cell a=14.932 b=14.932 c=14.932 alpha=24.21 beta=24.21 gamma=24.21
Atoms (fractional coordinates):
1 Pm 0.132 0.463 0.800
2 Pm 0.200 0.868 0.537
3 Pm 0.463 0.800 0.132
4 Pm 0.537 0.200 0.868
5 Pm 0.800 0.132 0.463
6 Pm 0.868 0.537 0.200
7 Sm 0.333 0.333 0.333
8 Sm 0.667 0.667 0.667
9 Y 0.066 0.733 0.399
10 Y 0.267 0.601 0.934
11 Y 0.399 0.066 0.733
12 Y 0.601 0.934 0.267
13 Y 0.733 0.399 0.066
14 Y 0.934 0.267 0.601

Calculated values
total magnetization	0.00	μB per cell
SG	No. 148

#ii
First-principles (GGA-PBE) data for crystalline Pm3SmY3 at its relaxed geometry, as listed in the Alexandria database.

Unit cell a=6.405 b=6.405 c=6.405 alpha=102.80 beta=102.80 gamma=102.80
Atoms (fractional coordinates):
1 Pm 0.095 0.453 0.453
2 Pm 0.453 0.095 0.453
3 Pm 0.453 0.453 0.095
4 Sm 0.043 0.043 0.043
5 Y 0.495 0.896 0.896
6 Y 0.896 0.495 0.896
7 Y 0.896 0.896 0.495

Calculated values
total magnetization	0.00	μB per cell
SG	No. 160

It turns out #i is the most stable, with the second structure 6.3 kJ/mol of atoms higher.